CsSi2OsPt | PBE | relaxed

Properties
Total magnetic moment   2.48 Bohr magnetons per cell
Uncorrected formation energy   1.10 eV per atom
Total energy   -4.696 eV/atom

Unit cell a=4.7209 b=4.7209 c=5.3225 alpha=90.00 beta=90.00 gamma=90.00
Space group P4/mmm (No. 123)
Asymmetric unit:
Cs  0.0000  0.0000  0.0000 [1 per cell]
Si  0.0000  0.5000  0.5000 [2 per cell]
Os  0.5000  0.5000  0.0000 [1 per cell]
Pt  0.5000  0.5000  0.5000 [1 per cell]